Record 1
Compound: TbZr2P
Source: Alexandria via LeMat-Bulk
Functional: GGA-PBE
Structure: optimized geometry

M_tot: 0.0 Bohr magnetons per cell
formation energy from the elements: -618 meV/atom

Unit cell a=3.6352 b=3.6352 c=8.6504 alpha=77.87 beta=77.87 gamma=60.00
With the nearest neighbours (Å) after each atom.
Element x y z (fractional)
Zr (0.0585, 0.0585, 0.8244)  3 P 2.56
Zr (0.2742, 0.2742, 0.1774)  3 P 2.58
Tb (0.5004, 0.5004, 0.4989)  6 Zr 3.42-3.44, 6 Tb 3.64
P (0.6669, 0.6669, 0.9992)  6 Zr 2.56-2.58


Record 2
Compound: BAs3Pd
Source: Alexandria via LeMat-Bulk
Functional: GGA-PBE
Structure: optimized geometry

M_tot: 0.0 Bohr magnetons per cell
formation energy from the elements: 654 meV/atom

Unit cell a=4.3477 b=4.3477 c=4.3477 alpha=90.00 beta=90.00 gamma=90.00
With the nearest neighbours (Å) after each atom.
Element x y z (fractional)
As (0.5000, 0.0000, 0.0000)  2 B 2.17
As (0.0000, 0.0000, 0.5000)  2 B 2.17
As (0.0000, 0.5000, 0.0000)  2 B 2.17
B (0.0000, 0.0000, 0.0000)  6 As 2.17
Pd (0.5000, 0.5000, 0.5000)  12 As 3.07


Record 3
Compound: CrHSe2
Source: Alexandria via LeMat-Bulk
Functional: GGA-PBE
Structure: optimized geometry

M_tot: 2.3 Bohr magnetons per cell
final energy: -0.1706 Ha/atom

Unit cell a=4.3226 b=4.3226 c=4.3226 alpha=60.00 beta=60.00 gamma=60.00
With the nearest neighbours (Å) after each atom.
Element x y z (fractional)
Se (0.7500, 0.7500, 0.7500)  4 Cr 2.65, 4 H 2.65
Se (0.2500, 0.2500, 0.2500)  4 Cr 2.65, 4 H 2.65
H (0.0000, 0.0000, 0.0000)  8 Se 2.65
Cr (0.5000, 0.5000, 0.5000)  8 Se 2.65


Record 4
Compound: TaSbCl
Source: Alexandria via LeMat-Bulk
Functional: GGA-PBE
Structure: optimized geometry

M_tot: 0.0 Bohr magnetons per cell
uncorrected formation energy: -0.111 eV/atom

Unit cell a=8.7139 b=8.4996 c=3.1111 alpha=83.50 beta=75.73 gamma=20.78
With the nearest neighbours (Å) after each atom.
Element x y z (fractional)
Ta (0.3418, 0.3418, 0.6582)  2 Cl 2.56
Cl (0.9550, 0.9550, 0.0450)  2 Ta 2.56
Sb (0.7032, 0.7032, 0.2968)  2 Ta 2.88, 4 Sb 3.11